Record 1
Density functional theory data (PBE) for crystalline Tb2CeNdDy5 at its relaxed geometry.

Values from the calculation:
- Calculated density: 7.96 g/cm3
- Space group: No. 36
- Energy relative to the elements: 1.56 eV/f.u.

a = 5.7085 Å, b = 11.1430 Å, c = 9.5946 Å
α = 90.00°, β = 90.00°, γ = 104.84°
With the nearest neighbours (Å) after each atom.
Element x y z (fractional)
Tb 0.8868 0.7737 0.8221  9 Dy 3.28-3.66, 1 Ce 3.37
Tb 0.1375 0.2750 0.7039  1 Ce 3.29, 3 Dy 3.33-3.65, 2 Nd 3.65
Tb 0.1132 0.2263 0.3221  9 Dy 3.28-3.66, 1 Ce 3.37
Tb 0.8625 0.7250 0.2039  1 Ce 3.29, 3 Dy 3.33-3.65, 2 Nd 3.65
Ce 0.8053 0.6106 0.5223  2 Tb 3.29-3.37, 5 Dy 3.37-3.48, 2 Nd 3.67
Ce 0.1947 0.3894 0.0223  2 Tb 3.29-3.37, 5 Dy 3.37-3.48, 2 Nd 3.67
Nd 0.5968 0.1937 0.9236  3 Dy 3.07-3.42
Nd 0.4032 0.8063 0.4236  3 Dy 3.07-3.42
Dy 0.3941 0.7882 0.0405  3 Dy 3.28-3.63, 4 Tb 3.33-3.54
Dy 0.7338 0.4677 0.8346  1 Nd 3.07, 1 Tb 3.30, 1 Ce 3.37
Dy 0.4713 0.9427 0.7457  2 Nd 3.20-3.42, 3 Dy 3.28-3.55, 2 Tb 3.46
Dy 0.3069 0.6139 0.7166  3 Ce 3.41-3.80, 5 Dy 3.45-3.77, 3 Tb 3.48-3.65, 1 Nd 3.49
Dy 0.9874 0.9749 0.5146  2 Tb 3.28-3.66, 2 Nd 3.49, 2 Dy 3.63
Dy 0.6059 0.2118 0.5405  3 Dy 3.28-3.63, 4 Tb 3.33-3.54
Dy 0.2662 0.5323 0.3346  1 Nd 3.07, 1 Tb 3.30, 1 Ce 3.37
Dy 0.5287 0.0573 0.2457  2 Nd 3.20-3.42, 3 Dy 3.28-3.55, 2 Tb 3.46
Dy 0.6931 0.3861 0.2166  3 Ce 3.41-3.80, 5 Dy 3.45-3.77, 3 Tb 3.48-3.65, 1 Nd 3.49
Dy 0.0126 0.0251 0.0146  2 Tb 3.28-3.66, 2 Nd 3.49, 2 Dy 3.63


Record 2
Density functional theory data (PBE) for crystalline PrCuGe3 at its relaxed geometry.

Values from the calculation:
- Calculated density: 6.98 g/cm3
- Space group: No. 65
- Energy relative to the elements: -2.16 eV/f.u.

a = 4.2802 Å, b = 4.2935 Å, c = 11.1386 Å
α = 101.11°, β = 90.00°, γ = 90.00°
With the nearest neighbours (Å) after each atom.
Element x y z (fractional)
Pr 0.5000 0.8322 0.6645  10 Ge 3.23-3.26, 4 Cu 3.28
Pr 0.5000 0.1678 0.3355  10 Ge 3.23-3.26, 4 Cu 3.28
Cu 0.0000 0.6110 0.2221  5 Ge 2.38-2.45
Cu 0.0000 0.3890 0.7779  5 Ge 2.38-2.45
Ge 0.0000 0.0568 0.1136  2 Cu 2.45, 1 Ge 2.48
Ge 0.0000 0.9432 0.8864  2 Cu 2.45, 1 Ge 2.48
Ge 0.0000 0.2801 0.5603  1 Cu 2.38, 2 Ge 2.52
Ge 0.0000 0.7199 0.4397  1 Cu 2.38, 2 Ge 2.52
Ge 0.5000 0.4434 0.8869  2 Cu 2.45, 1 Ge 2.47
Ge 0.5000 0.5566 0.1131  2 Cu 2.45, 1 Ge 2.47


Record 3
Density functional theory data (PBE) for crystalline SbOsI2O at its relaxed geometry.

Values from the calculation:
- Calculated density: 6.54 g/cm3
- Space group: No. 123
- Formation energy without anion corrections: 1.0153 eV/atom

a = 6.0575 Å, b = 6.0575 Å, c = 4.0280 Å
α = 90.00°, β = 90.00°, γ = 90.00°
With the nearest neighbours (Å) after each atom.
Element x y z (fractional)
I 0.0000 0.5000 0.0000  2 Sb 3.03
I 0.5000 0.0000 0.0000  2 Sb 3.03
Sb 0.0000 0.0000 0.0000  2 O 2.01
Os 0.5000 0.5000 0.5000  8 I 3.64, 2 Os 4.03
O 0.0000 0.0000 0.5000  2 Sb 2.01


Record 4
Density functional theory data (PBE) for crystalline MgUTc2 at its relaxed geometry.

Values from the calculation:
- Calculated density: 10.99 g/cm3
- Space group: No. 225
- Energy relative to the elements: 0.20 eV/f.u.

a = 4.6098 Å, b = 4.6098 Å, c = 4.6098 Å
α = 60.00°, β = 60.00°, γ = 60.00°
With the nearest neighbours (Å) after each atom.
Element x y z (fractional)
Mg 0.5000 0.5000 0.5000  8 Tc 2.82
U 0.0000 0.0000 0.0000  8 Tc 2.82
Tc 0.2500 0.2500 0.2500  4 Mg 2.82, 4 U 2.82
Tc 0.7500 0.7500 0.7500  4 Mg 2.82, 4 U 2.82


Record 5
Density functional theory data (PBE) for crystalline FeCoHIr2 at its relaxed geometry.

Values from the calculation:
- Calculated density: 15.14 g/cm3
- Space group: No. 123
- Total DFT energy (no corrections): -7.250 eV/atom

a = 3.8654 Å, b = 3.8654 Å, c = 3.6719 Å
α = 90.00°, β = 90.00°, γ = 90.00°
With the nearest neighbours (Å) after each atom.
Element x y z (fractional)
H 0.0000 0.0000 0.0000  2 Co 1.84, 4 Ir 1.93
Ir 0.0000 0.5000 0.0000  2 H 1.93
Ir 0.5000 0.0000 0.0000  2 H 1.93
Co 0.0000 0.0000 0.5000  2 H 1.84
Fe 0.5000 0.5000 0.5000  8 Ir 2.67, 4 Co 2.73


Record 6
Density functional theory data (PBE) for crystalline Nd5Dy12Mg2 at its relaxed geometry.

Values from the calculation:
- Calculated density: 7.39 g/cm3
- Space group: No. 12
- Energy relative to the elements: 1.75 eV/f.u.

a = 9.2612 Å, b = 12.2325 Å, c = 8.4729 Å
α = 132.22°, β = 90.00°, γ = 112.24°
With the nearest neighbours (Å) after each atom.
Element x y z (fractional)
Nd 0.2934 0.5869 0.6074  8 Dy 3.47-3.65, 1 Nd 3.54, 2 Mg 3.57
Nd 0.2333 0.4665 0.8937  8 Dy 3.34-3.63, 2 Nd 3.54-3.67
Nd 0.0000 0.0000 0.5000  10 Dy 3.38-3.76, 2 Nd 3.67
Nd 0.7667 0.5335 0.1063  8 Dy 3.34-3.63, 2 Nd 3.54-3.67
Nd 0.7066 0.4131 0.3926  8 Dy 3.47-3.65, 1 Nd 3.54, 2 Mg 3.57
Dy 0.0756 0.1512 0.2729  3 Dy 3.18-3.44, 2 Nd 3.38-3.47, 2 Mg 3.47
Dy 0.0366 0.7106 0.9490  1 Mg 3.29, 4 Dy 3.36-3.62, 4 Nd 3.53-3.65
Dy 0.6739 0.7106 0.9490  1 Mg 3.29, 4 Dy 3.36-3.62, 4 Nd 3.53-3.65
Dy 0.1814 0.7456 0.4214  5 Dy 3.37-3.61, 4 Nd 3.43-3.76, 1 Mg 3.45
Dy 0.5642 0.7456 0.4214  5 Dy 3.37-3.61, 4 Nd 3.43-3.76, 1 Mg 3.45
Dy 0.5568 0.1135 0.7792  2 Mg 3.32, 2 Nd 3.34-3.59, 7 Dy 3.36-3.54
Dy 0.4432 0.8865 0.2208  2 Mg 3.32, 2 Nd 3.34-3.59, 7 Dy 3.36-3.54
Dy 0.8186 0.2544 0.5786  5 Dy 3.37-3.61, 4 Nd 3.43-3.76, 1 Mg 3.45
Dy 0.4358 0.2544 0.5786  5 Dy 3.37-3.61, 4 Nd 3.43-3.76, 1 Mg 3.45
Dy 0.9634 0.2894 0.0510  1 Mg 3.29, 4 Dy 3.36-3.62, 4 Nd 3.53-3.65
Dy 0.3261 0.2894 0.0510  1 Mg 3.29, 4 Dy 3.36-3.62, 4 Nd 3.53-3.65
Dy 0.9244 0.8488 0.7271  3 Dy 3.18-3.44, 2 Nd 3.38-3.47, 2 Mg 3.47
Mg 0.6669 0.0000 0.0000  1 Mg 3.09, 6 Dy 3.29-3.45
Mg 0.3331 0.0000 0.0000  1 Mg 3.09, 6 Dy 3.29-3.45